! PBE Na2TbTe4As, optimized geometry; values from VASP
! **Calculated total energy**: -3.872 eV per atom
! **Spin magnetization**: 0.0 μB per formula unit
&SYSTEM
  ibrav = 0, nat = 8, ntyp = 4
/
ATOMIC_SPECIES
Te 127.60 Te.upf
As 74.92 As.upf
Tb 158.93 Tb.upf
Na 22.99 Na.upf
ATOMIC_POSITIONS crystal
Te 0.500 0.775 0.782
Te 0.000 0.756 0.226
Te 0.000 0.244 0.774
Te 0.500 0.225 0.218
As 0.000 0.000 0.000
Tb 0.500 0.500 0.000
Na 0.000 0.500 0.500
Na 0.500 0.000 0.500
CELL_PARAMETERS angstrom
4.340 0.000 0.000
0.000 7.589 0.149
0.000 -2.635 7.479